Entry 1:
Entry from Alexandria via LeMat-Bulk: an optimized crystal structure of Tb2MgSnC (PBE).

## Properties
ΔE_f: -0.485 eV per atom
crystal system: tetragonal
D(E_F): 0.7 states/eV/cell

Lattice parameters (Å, degrees): 4.9638 4.9638 4.4265 90.00 90.00 90.00
Space group P4/mmm (No. 123)
One atom of each set of equivalent atoms:
Tb  0.0000  0.5000  0.0000 [2 per cell]
Mg  0.0000  0.0000  0.5000 [1 per cell]
Sn  0.5000  0.5000  0.5000 [1 per cell]
C  0.0000  0.0000  0.0000 [1 per cell]

Entry 2:
Entry from Alexandria via LeMat-Bulk: an optimized crystal structure of NdHoMgAg (PBE).

## Properties
ΔE_f: -0.136 eV per atom
crystal system: cubic
D(E_F): 17.7 states/eV/cell

Lattice parameters (Å, degrees): 7.5180 7.5180 7.5180 90.00 90.00 90.00
Space group F-43m (No. 216)
One atom of each set of equivalent atoms:
Nd  0.0000  0.0000  0.0000 [4 per cell]
Ho  0.0000  0.0000  0.5000 [4 per cell]
Mg  0.2500  0.2500  0.2500 [4 per cell]
Ag  0.2500  0.2500  0.7500 [4 per cell]

Entry 3:
Entry from Alexandria via LeMat-Bulk: an optimized crystal structure of ErMg6 (PBE).

## Properties
ΔE_f: 0.771 eV per atom
crystal system: cubic
D(E_F): 9.7 states/eV/cell

Lattice parameters (Å, degrees): 7.7123 7.7123 7.7123 90.00 90.00 90.00
Space group Im-3m (No. 229)
One atom of each set of equivalent atoms:
Er  0.0000  0.0000  0.0000 [2 per cell]
Mg  0.0000  0.2500  0.5000 [12 per cell]

Entry 4:
Entry from Alexandria via LeMat-Bulk: an optimized crystal structure of CdMoOs2 (PBE).

## Properties
ΔE_f: 0.538 eV per atom
crystal system: orthorhombic
D(E_F): 5.3 states/eV/cell

Lattice parameters (Å, degrees): 2.7613 4.6519 10.6151 90.00 90.00 90.00
Space group Imm2 (No. 44)
One atom of each set of equivalent atoms:
Cd  0.0000  0.0000  0.0000 [2 per cell]
Mo  0.0000  0.5000  0.8167 [2 per cell]
Os  0.0000  0.0000  0.5415 [2 per cell]
Os  0.0000  0.5000  0.2422 [2 per cell]

Entry 5:
Entry from Alexandria via LeMat-Bulk: an optimized crystal structure of NaEr3Pu2Te6 (PBE).

## Properties
formation energy from raw total energies: -1400 kJ/mol of formula units
crystal system: monoclinic
D(E_F): 51.5 states/eV/cell

Lattice parameters (Å, degrees): 19.2406 4.3581 8.8586 90.00 104.07 90.00
Space group C2/m (No. 12)
One atom of each set of equivalent atoms:
Na  0.0000  0.0000  0.0000 [2 per cell]
Er  0.0000  0.0000  0.5000 [2 per cell]
Er  0.1671  0.5000  0.8299 [4 per cell]
Pu  0.1671  0.5000  0.3335 [4 per cell]
Te  0.0027  0.5000  0.7452 [4 per cell]
Te  0.1647  0.0000  0.5857 [4 per cell]
Te  0.1681  0.0000  0.0755 [4 per cell]

Entry 6:
Entry from Alexandria via LeMat-Bulk: an optimized crystal structure of CsBiI (PBE).

## Properties
formation energy from raw total energies: -228 kJ/mol of formula units
crystal system: triclinic
D(E_F): 1.7 states/eV/cell

Lattice parameters (Å, degrees): 4.5687 6.0251 11.8819 90.59 90.61 90.01
Space group P-1 (No. 2)
One atom of each set of equivalent atoms:
Cs  0.2429  0.2484  0.3258 [2 per cell]
Bi  0.2481  0.3516  0.9652 [2 per cell]
I  0.2570  0.2523  0.6551 [2 per cell]

Entry 7:
Entry from Alexandria via LeMat-Bulk: an optimized crystal structure of AcInNiAu (PBE).

## Properties
ΔE_f: -0.315 eV per atom
crystal system: cubic
D(E_F): 14.4 states/eV/cell

Lattice parameters (Å, degrees): 7.2060 7.2060 7.2060 90.00 90.00 90.00
Space group F-43m (No. 216)
One atom of each set of equivalent atoms:
Ac  0.0000  0.0000  0.0000 [4 per cell]
In  0.0000  0.0000  0.5000 [4 per cell]
Ni  0.2500  0.2500  0.7500 [4 per cell]
Au  0.2500  0.2500  0.2500 [4 per cell]

Entry 8:
Entry from Alexandria via LeMat-Bulk: an optimized crystal structure of Dy3RhPb (PBE).

## Properties
ΔE_f: -0.519 eV per atom
crystal system: monoclinic
D(E_F): 7.6 states/eV/cell

Lattice parameters (Å, degrees): 5.3385 8.5002 6.8737 90.00 112.11 90.00
Space group P2_1/m (No. 11)
One atom of each set of equivalent atoms:
Dy  0.0466  0.2500  0.1012 [2 per cell]
Dy  0.3692  0.0546  0.7320 [4 per cell]
Rh  0.4563  0.7500  0.9043 [2 per cell]
Pb  0.2086  0.7500  0.4301 [2 per cell]